SrBr2N | the Alexandria database | PBE-GGA | relaxed; V = 382 Å³/cell; polymorph energy (0 for the lowest one) = 0.56 eV per formula unit; ρ = 2.27 g cm⁻³; DOS(E_F) = 0.00 states/eV/cell; formation energy (no corrections) = -0.1511 eV per atom
1.0
-3.171 5.437 -3.218
-2.014 -4.283 -5.251
-9.067 -0.978 -0.484
Sr Br N
2 4 2
Direct
0.000 0.000 0.000
0.750 0.250 0.500
0.680 0.125 0.250
0.070 0.625 0.250
0.375 0.320 0.750
0.875 0.930 0.750
0.500 0.500 0.000
0.250 0.750 0.500

***

RbPm2CuO5 | the Alexandria database | PBE-GGA | relaxed; V = 267 Å³/cell; ρ = 6.46 g cm⁻³; DOS(E_F) = 2.34 states/eV/cell; formation energy (no corrections) = -2.1786 eV per atom
1.0
6.775 0.000 0.000
0.000 6.775 0.000
-3.388 -3.388 5.813
Rb Pm Cu O
2 4 2 10
Direct
0.250 0.250 0.500
0.750 0.750 0.500
0.176 0.324 0.000
0.676 0.176 0.000
0.324 0.824 0.000
0.824 0.676 0.000
0.250 0.750 0.500
0.750 0.250 0.500
0.995 0.495 0.250
0.744 0.244 0.750
0.005 0.505 0.750
0.244 0.005 0.750
0.505 0.744 0.750
0.756 0.995 0.250
0.495 0.256 0.250
0.256 0.756 0.250
0.500 0.500 0.000
0.000 0.000 0.000

***

Nb4IrRh | the Alexandria database | PBE-GGA | relaxed; V = 118 Å³/cell; ΔH_f (0 K) = 0.13 eV/atom; ρ = 9.37 g cm⁻³; DOS(E_F) = 6.27 states/eV/cell
1.0
-2.609 2.875 1.852
-3.291 -1.429 -2.725
-2.474 -4.111 3.867
Nb Ir Rh
4 1 1
Direct
0.515 0.974 0.245
0.488 0.021 0.752
0.018 0.479 0.745
0.985 0.515 0.252
0.501 0.497 0.998
0.001 0.997 0.498

***

CsLi2La2 | the Alexandria database | PBE-GGA | relaxed; V = 201 Å³/cell; polymorph energy (0 for the lowest one) = 1.27 eV per formula unit; ΔH_f (0 K) = 0.58 eV/atom; ρ = 3.50 g cm⁻³; DOS(E_F) = 5.11 states/eV/cell
1.0
-4.378 -3.260 1.790
2.999 -1.460 4.676
-3.025 2.418 6.223
Cs Li La
1 2 2
Direct
0.000 0.000 0.000
0.750 0.250 0.500
0.250 0.750 0.500
0.383 0.383 0.235
0.617 0.617 0.765

***

YH8PdRh2 | the Alexandria database | PBE-GGA | relaxed; V = 104 Å³/cell; ρ = 6.53 g cm⁻³; DOS(E_F) = 1.86 states/eV/cell; total DFT energy (no corrections) = -4.65 eV/atom
1.0
4.810 0.000 0.000
2.405 4.166 0.000
2.405 1.389 5.191
Y H Pd Rh
1 8 1 2
Direct
0.500 0.500 0.500
0.183 0.183 0.450
0.621 0.323 0.148
0.817 0.817 0.550
0.908 0.621 0.148
0.092 0.379 0.852
0.323 0.908 0.148
0.677 0.092 0.852
0.379 0.677 0.852
0.000 0.000 0.000
0.290 0.290 0.129
0.710 0.710 0.871

***

Zr2Cu2Pd | the Alexandria database | PBE-GGA | relaxed; V = 174 Å³/cell; polymorph energy (0 for the lowest one) = 0.19 eV per formula unit; ΔH_f (0 K) = -0.26 eV/atom; ρ = 7.96 g cm⁻³; DOS(E_F) = 8.50 states/eV/cell
1.0
-0.269 3.897 1.446
-5.067 1.711 0.444
-2.017 -1.074 8.519
Zr Cu Pd
4 4 2
Direct
0.313 0.270 0.104
0.512 0.308 0.667
0.687 0.730 0.896
0.488 0.692 0.333
0.963 0.186 0.887
0.129 0.312 0.430
0.037 0.814 0.113
0.871 0.688 0.570
0.781 0.106 0.332
0.219 0.894 0.668